Version a
Density functional theory data (PBE+U) for a geometry-optimized Ac2MoO6 structure.

Structure (POSCAR):
```
Ac2MoO6
1.0
-2.277 -3.030 4.343
5.735 0.004 3.010
-1.692 7.190 3.215
Ac O Mo
4 12 2
direct
0.969 0.415 0.751
0.469 0.085 0.251
0.531 0.915 0.749
0.031 0.585 0.249
0.370 0.558 0.775
0.132 0.260 0.426
0.870 0.942 0.275
0.215 0.354 0.046
0.285 0.854 0.454
0.130 0.058 0.725
0.630 0.442 0.225
0.368 0.760 0.074
0.785 0.646 0.954
0.868 0.740 0.574
0.632 0.240 0.926
0.715 0.146 0.546
0.500 0.500 0.000
0.000 0.000 0.500
```

total magnetization: 0.0 μB/cell
SG: P2_1/c (14)


Version b
Density functional theory data (PBE+U) for a geometry-optimized Ac2MoO6 structure.

Structure (POSCAR):
```
Ac2MoO6
1.0
-4.857 -1.867 1.121
1.999 -4.909 0.489
1.742 1.753 10.469
O Ac Mo
12 4 2
direct
0.324 0.324 0.637
0.176 0.824 0.137
0.757 0.243 0.500
0.824 0.176 0.137
0.676 0.676 0.637
0.243 0.757 0.500
0.824 0.176 0.863
0.176 0.824 0.863
0.324 0.324 0.363
0.676 0.676 0.363
0.257 0.257 0.000
0.743 0.743 0.000
0.500 0.500 0.168
0.000 0.000 0.332
0.500 0.500 0.832
0.000 0.000 0.668
0.000 0.000 0.000
0.500 0.500 0.500
```

total magnetization: 0.0 μB/cell
SG: P4_2/mnm (136)


Top of the stability list: version a, leading by 106 meV/atom.


Version a
Density functional theory data (PBE+U) for a geometry-optimized AcMoO4 structure.

Structure (POSCAR):
```
AcMoO4
1.0
-4.702 2.167 -3.580
-3.508 -6.874 0.926
-3.993 2.988 7.054
O Mo Ac
16 4 4
direct
0.079 0.636 0.372
0.464 0.234 0.700
0.116 0.902 0.132
0.964 0.734 0.800
0.616 0.402 0.368
0.246 0.020 0.440
0.884 0.098 0.868
0.579 0.136 0.128
0.746 0.520 0.060
0.036 0.266 0.200
0.754 0.980 0.560
0.254 0.480 0.940
0.384 0.598 0.632
0.921 0.364 0.628
0.536 0.766 0.300
0.421 0.864 0.872
0.748 0.168 0.684
0.252 0.832 0.316
0.752 0.332 0.184
0.248 0.668 0.816
0.755 0.663 0.545
0.745 0.837 0.045
0.245 0.337 0.455
0.255 0.163 0.955
```

total magnetization: 4.0 μB/cell
SG: P2_1/c (14)


Version b
Density functional theory data (PBE+U) for a geometry-optimized AcMoO4 structure.

Structure (POSCAR):
```
AcMoO4
1.0
5.573 0.000 0.000
0.000 5.573 0.000
-2.787 -2.787 6.081
O Ac Mo
8 2 2
direct
0.676 0.570 0.846
0.074 0.680 0.654
0.430 0.830 0.154
0.320 0.420 0.346
0.724 0.324 0.154
0.026 0.926 0.346
0.170 0.276 0.846
0.580 0.974 0.654
0.000 0.000 0.000
0.750 0.250 0.500
0.500 0.500 0.000
0.250 0.750 0.500
```

total magnetization: 2.0 μB/cell
SG: I4_1/a (88)


Top of the stability list: version b, leading by 96 meV/atom.


Version a
Density functional theory data (PBE+U) for a geometry-optimized Ac2MoO5 structure.

Structure (POSCAR):
```
Ac2MoO5
1.0
-2.360 -5.411 -0.426
2.782 -0.935 5.833
-3.617 5.530 -2.199
O Mo Ac
5 1 2
direct
0.923 0.832 0.123
0.832 0.922 0.576
0.701 0.152 0.005
0.376 0.376 0.348
0.152 0.701 0.793
0.950 0.950 0.922
0.129 0.715 0.426
0.715 0.129 0.361
```

total magnetization: 2.0 μB/cell
SG: C2 (5)


Version b
Density functional theory data (PBE+U) for a geometry-optimized Ac2MoO5 structure.

Structure (POSCAR):
```
Ac2MoO5
1.0
-3.051 3.501 -3.466
-0.866 -6.489 -0.947
-4.518 2.270 6.270
Ac O Mo
4 10 2
direct
0.354 0.661 0.668
0.693 0.339 0.832
0.646 0.339 0.332
0.307 0.661 0.168
0.904 0.275 0.543
0.371 0.275 0.043
0.096 0.725 0.457
0.099 0.708 0.907
0.895 0.000 0.750
0.629 0.725 0.957
0.901 0.292 0.093
0.105 0.000 0.250
0.391 0.292 0.593
0.609 0.708 0.407
0.000 0.000 0.000
0.000 0.000 0.500
```

total magnetization: 4.0 μB/cell
SG: C2/c (15)


Top of the stability list: version b, leading by 59 meV/atom.